No. 1
An optimized crystal structure of Tb6Dy2Tl. Source: Alexandria via LeMat-Bulk, functional GGA-PBE.

Output
The density of states at the Fermi level is 25.473 states/eV/cell. The value obtained for the offset from the most stable computed form is 0 meV per atom. The electronic total energy is -0.16301 hartree per atom.

Cell lengths 10.966, 10.966, 8.977 Å; angles 108.52, 108.52, 32.92 degrees
Fractional positions:
Tb (0.001, 0.673, 0.083)
Tb (0.118, 0.774, 0.865)
Tb (0.226, 0.882, 0.635)
Tb (0.242, 0.540, 0.472)
Tb (0.327, 0.999, 0.417)
Tb (0.460, 0.758, 0.028)
Tb (0.540, 0.242, 0.972)
Tb (0.673, 0.001, 0.583)
Tb (0.758, 0.460, 0.528)
Tb (0.774, 0.118, 0.365)
Tb (0.882, 0.226, 0.135)
Tb (0.999, 0.327, 0.917)
Dy (0.109, 0.446, 0.695)
Dy (0.446, 0.109, 0.195)
Dy (0.554, 0.891, 0.805)
Dy (0.891, 0.554, 0.305)
Tl (0.333, 0.667, 0.250)
Tl (0.667, 0.333, 0.750)

No. 2
An optimized crystal structure of Tb6DyTl6. Source: Alexandria via LeMat-Bulk, functional GGA-PBE.

Output
The density of states at the Fermi level is 13.957 states/eV/cell. The electronic total energy is -0.13841 hartree per atom.

Cell lengths 6.449, 6.449, 10.593 Å; angles 90.00, 90.00, 120.00 degrees
Fractional positions:
Tb (0.000, 0.000, 0.165)
Tb (0.000, 0.000, 0.835)
Tb (0.333, 0.667, 0.000)
Tb (0.333, 0.667, 0.500)
Tb (0.667, 0.333, 0.000)
Tb (0.667, 0.333, 0.500)
Dy (0.000, 0.000, 0.500)
Tl (0.000, 0.500, 0.254)
Tl (0.000, 0.500, 0.746)
Tl (0.500, 0.000, 0.254)
Tl (0.500, 0.000, 0.746)
Tl (0.500, 0.500, 0.254)
Tl (0.500, 0.500, 0.746)

No. 3
An optimized crystal structure of Tb6Dy12Tl. Source: Alexandria via LeMat-Bulk, functional GGA-PBE.

Output
The density of states at the Fermi level is 26.912 states/eV/cell. The electronic total energy is -0.16192 hartree per atom.

Cell lengths 8.453, 8.453, 8.453 Å; angles 88.74, 88.74, 88.74 degrees
Fractional positions:
Tb (0.202, 0.758, 0.595)
Tb (0.242, 0.405, 0.798)
Tb (0.405, 0.798, 0.242)
Tb (0.595, 0.202, 0.758)
Tb (0.758, 0.595, 0.202)
Tb (0.798, 0.242, 0.405)
Dy (0.040, 0.934, 0.279)
Dy (0.066, 0.721, 0.960)
Dy (0.138, 0.488, 0.314)
Dy (0.279, 0.040, 0.934)
Dy (0.314, 0.138, 0.488)
Dy (0.488, 0.314, 0.138)
Dy (0.512, 0.686, 0.862)
Dy (0.686, 0.862, 0.512)
Dy (0.721, 0.960, 0.066)
Dy (0.862, 0.512, 0.686)
Dy (0.934, 0.279, 0.040)
Dy (0.960, 0.066, 0.721)
Tl (0.500, 0.500, 0.500)

No. 4
An optimized crystal structure of Tb3Dy2Tl4. Source: Alexandria via LeMat-Bulk, functional GGA-PBE.

Output
The density of states at the Fermi level is 7.455 states/eV/cell. The value obtained for the offset from the most stable computed form is 0 meV per atom. The electronic total energy is -0.14325 hartree per atom.

Cell lengths 8.765, 8.765, 6.690 Å; angles 104.73, 104.73, 32.10 degrees
Fractional positions:
Tb (0.000, 0.000, 0.000)
Tb (0.110, 0.110, 0.582)
Tb (0.890, 0.890, 0.418)
Dy (0.329, 0.329, 0.932)
Dy (0.671, 0.671, 0.068)
Tl (0.253, 0.253, 0.337)
Tl (0.490, 0.490, 0.717)
Tl (0.510, 0.510, 0.283)
Tl (0.747, 0.747, 0.663)

no.,magnetic moment (μB/f.u.),calculated formation energy (eV/atom)
1,0.0,-0.06
2,1.0,-0.18
3,0.0,0.09
4,0.0,-0.28